This record from the Alexandria database describes an optimized crystal structure of SrAlRu2. The functional is PBE. Values from VASP.

Geometry as Quantum ESPRESSO input:
```
&SYSTEM
  ibrav = 0, nat = 4, ntyp = 3
/
ATOMIC_SPECIES
Ru 101.07 Ru.upf
Sr 87.62 Sr.upf
Al 26.98 Al.upf
CELL_PARAMETERS angstrom
8.714 0.012 0.007
8.153 3.075 0.007
8.153 1.492 2.689
ATOMIC_POSITIONS crystal
Ru 0.013 0.013 0.013
Ru 0.487 0.487 0.487
Sr 0.250 0.250 0.250
Al 0.750 0.750 0.750
```

Output
Total magnetization in μB/atom: 0.000
DFT total energy in eV/atom: -5.637
Symmetry: No. 166

***

This record from the Alexandria database describes an optimized crystal structure of SrAlRu2. The functional is PBE. Values from VASP.

Geometry as Quantum ESPRESSO input:
```
&SYSTEM
  ibrav = 0, nat = 4, ntyp = 3
/
ATOMIC_SPECIES
Ru 101.07 Ru.upf
Al 26.98 Al.upf
Sr 87.62 Sr.upf
CELL_PARAMETERS angstrom
-1.766 2.183 -0.992
-1.211 -2.628 -0.704
-4.171 -0.042 7.332
ATOMIC_POSITIONS crystal
Ru 0.000 0.000 0.541
Ru 0.000 0.000 0.959
Al 0.500 0.500 0.750
Sr 0.500 0.500 0.250
```

Output
Total magnetization in μB/atom: 0.001
DFT total energy in eV/atom: -5.651
Symmetry: No. 65

***

This record from the Alexandria database describes an optimized crystal structure of Sr2Al2Ru. The functional is PBE. Values from VASP.

Geometry as Quantum ESPRESSO input:
```
&SYSTEM
  ibrav = 0, nat = 10, ntyp = 3
/
ATOMIC_SPECIES
Sr 87.62 Sr.upf
Ru 101.07 Ru.upf
Al 26.98 Al.upf
CELL_PARAMETERS angstrom
-6.574 1.858 -0.508
-1.925 -6.259 2.012
0.063 1.614 5.082
ATOMIC_POSITIONS crystal
Sr 0.179 0.679 0.500
Sr 0.321 0.179 0.500
Sr 0.679 0.821 0.500
Sr 0.821 0.321 0.500
Ru 0.000 0.000 0.000
Ru 0.500 0.500 0.000
Al 0.150 0.350 0.000
Al 0.850 0.650 0.000
Al 0.350 0.850 0.000
Al 0.650 0.150 0.000
```

Output
Total magnetization in μB/atom: 0.000
DFT total energy in eV/atom: -3.966
Symmetry: No. 127

***

This record from the Alexandria database describes an optimized crystal structure of SrAlRu2. The functional is PBE. Values from VASP.

Geometry as Quantum ESPRESSO input:
```
&SYSTEM
  ibrav = 0, nat = 8, ntyp = 3
/
ATOMIC_SPECIES
Al 26.98 Al.upf
Ru 101.07 Ru.upf
Sr 87.62 Sr.upf
CELL_PARAMETERS angstrom
4.768 0.000 0.000
0.000 4.768 0.000
2.384 2.384 8.712
ATOMIC_POSITIONS crystal
Al 0.500 0.500 0.000
Al 0.250 0.750 0.500
Ru 0.875 0.640 0.750
Ru 0.390 0.125 0.250
Ru 0.375 0.610 0.750
Ru 0.360 0.625 0.250
Sr 0.750 0.250 0.500
Sr 0.000 0.000 0.000
```

Output
Total magnetization in μB/atom: 0.000
DFT total energy in eV/atom: -5.675
Symmetry: No. 122

***

Q: Among the records above, which one has the highest DFT total energy?
A: Sr2Al2Ru